Material: AsPbSe2Br
Method: DFT, PBE
State: optimized geometry

Cell: 5.5564 5.5564 5.5626 Å, 90.00 90.00 90.00°
Fractional positions:
Pb 0.0000 0.0000 0.0000
As 0.5000 0.5000 0.5000
Se 0.0000 0.5000 0.0000
Se 0.5000 0.0000 0.0000
Br 0.0000 0.0000 0.5000

Values from the calculation:
E_form (uncorrected)	635	meV per atom
ρ	5.027	g/cm3
magnetic moment	0.85	μB per cell
calculated volume	34.35	Å³/atom
final energy	-2.765	eV/atom
offset from the most stable computed form	654	meV/atom